Record 1
BaInW2: optimized geometry, PBE.

abc: 3.387 3.376 8.468
angles: 90.00 90.14 90.00
Fractional positions:
Ba 0.000 0.000 0.000
In 0.500 0.500 0.677
W 0.500 0.500 0.318
W 0.998 0.000 0.448

Computed properties:
Uncorrected energy (eV per atom): -7.14
Magnetization (μB/cell): 0.000
Formation energy (eV per atom): 0.502

=====

Record 2
BaIn2W: optimized geometry, PBE.

abc: 5.869 5.869 5.869
angles: 132.70 132.70 69.12
Fractional positions:
Ba 0.000 0.000 0.000
In 0.250 0.750 0.500
In 0.500 0.500 0.000
W 0.750 0.250 0.500

Computed properties:
Uncorrected energy (eV per atom): -4.16
Magnetization (μB/cell): 1.540
Formation energy (eV per atom): 0.932

=====

Please write out number 2 again, unchanged.
BaIn2W: optimized geometry, PBE.

abc: 5.869 5.869 5.869
angles: 132.70 132.70 69.12
Fractional positions:
Ba 0.000 0.000 0.000
In 0.250 0.750 0.500
In 0.500 0.500 0.000
W 0.750 0.250 0.500

Computed properties:
Uncorrected energy (eV per atom): -4.16
Magnetization (μB/cell): 1.540
Formation energy (eV per atom): 0.932

=====

Please write out number 1 again, unchanged.
BaInW2: optimized geometry, PBE.

abc: 3.387 3.376 8.468
angles: 90.00 90.14 90.00
Fractional positions:
Ba 0.000 0.000 0.000
In 0.500 0.500 0.677
W 0.500 0.500 0.318
W 0.998 0.000 0.448

Computed properties:
Uncorrected energy (eV per atom): -7.14
Magnetization (μB/cell): 0.000
Formation energy (eV per atom): 0.502

=====

> uncorrected energy of number 1 (BaInW2)?

-7.14 eV per atom